(1)
YPuPaSn, optimized geometry, DFT GGA-PBE; E = -8.6122 eV per atom; E_form = -0.04 eV per atom
1.0
0.000 3.720 3.720
3.720 0.000 3.720
3.720 3.720 0.000
Y Pu Pa Sn
1 1 1 1
direct
0.000 0.000 0.000
0.500 0.500 0.500
0.250 0.250 0.250
0.750 0.750 0.750


(2)
PuPaZnSn, optimized geometry, DFT GGA-PBE; E = -7.2923 eV per atom; E_form = -0.02 eV per atom
1.0
0.000 3.669 3.669
3.669 0.000 3.669
3.669 3.669 0.000
Pu Pa Zn Sn
1 1 1 1
direct
0.000 0.000 0.000
0.500 0.500 0.500
0.750 0.750 0.750
0.250 0.250 0.250